! CrCoGeO6 PBE with a Hubbard U optimized geometry; values from VASP
! Final energy in eV/atom: -6.49
! Spin magnetization in μB per formula unit: 1.00
&SYSTEM
  ibrav = 0, nat = 18, ntyp = 4
/
ATOMIC_SPECIES
Cr 52.00 Cr.upf
Co 58.93 Co.upf
Ge 72.64 Ge.upf
O 16.00 O.upf
CELL_PARAMETERS angstrom
4.414 0.000 0.000
0.000 4.414 0.000
0.000 0.000 8.802
ATOMIC_POSITIONS crystal
Cr 0.000 0.000 0.000
Cr 0.500 0.500 0.500
Co 0.000 0.000 0.667
Co 0.500 0.500 0.167
Ge 0.000 0.000 0.334
Ge 0.500 0.500 0.834
O 0.193 0.193 0.501
O 0.195 0.195 0.832
O 0.200 0.200 0.169
O 0.300 0.700 0.669
O 0.305 0.695 0.332
O 0.307 0.693 0.001
O 0.693 0.307 0.001
O 0.695 0.305 0.332
O 0.700 0.300 0.669
O 0.800 0.800 0.169
O 0.805 0.805 0.832
O 0.807 0.807 0.501